Version 1
First-principles (PBE-GGA) data for a geometry-optimized TaNbMo structure, as listed in the Alexandria database.

Unit cell a=4.838 b=4.839 c=5.260 alpha=90.00 beta=90.00 gamma=119.99
Atoms (fractional coordinates):
1 Nb 0.500 0.000 0.500
2 Nb 0.500 0.000 0.000
3 Ta 0.167 0.333 0.250
4 Ta 0.833 0.667 0.750
5 Mo 0.167 0.333 0.750
6 Mo 0.833 0.667 0.250

Summary:
Density of states at the Fermi level, states/eV per cell: 4.4

---

Version 2
First-principles (PBE-GGA) data for a geometry-optimized TaNbMo structure, as listed in the Alexandria database.

Unit cell a=4.355 b=4.356 c=7.135 alpha=72.15 beta=72.15 gamma=89.77
Atoms (fractional coordinates):
1 Ta 0.154 0.594 0.608
2 Ta 0.654 0.095 0.609
3 Nb 0.404 0.844 0.108
4 Nb 0.904 0.344 0.108
5 Mo 0.280 0.220 0.357
6 Mo 0.528 0.469 0.860

Summary:
Density of states at the Fermi level, states/eV per cell: 6.5

---

Bottom line: version 1, by a margin of 444 meV/atom.

---

Version 1
First-principles (PBE-GGA) data for a geometry-optimized TaNb2Mo6 structure, as listed in the Alexandria database.

Unit cell a=4.721 b=8.524 c=6.796 alpha=128.84 beta=122.89 gamma=90.00
Atoms (fractional coordinates):
1 Ta 0.000 0.000 0.000
2 Nb 0.666 0.666 0.331
3 Nb 0.334 0.334 0.669
4 Mo 0.168 0.495 0.333
5 Mo 0.832 0.162 0.667
6 Mo 0.832 0.505 0.667
7 Mo 0.500 0.171 0.000
8 Mo 0.168 0.838 0.333
9 Mo 0.500 0.829 0.000

Summary:
Density of states at the Fermi level, states/eV per cell: 8.5

---

Version 2
First-principles (PBE-GGA) data for a geometry-optimized TaNb2Mo6 structure, as listed in the Alexandria database.

Unit cell a=2.627 b=8.433 c=8.204 alpha=120.93 beta=99.21 gamma=90.00
Atoms (fractional coordinates):
1 Ta 0.000 0.500 0.000
2 Nb 0.840 0.840 0.681
3 Nb 0.160 0.160 0.319
4 Mo 0.668 0.835 0.335
5 Mo 0.332 0.165 0.665
6 Mo 0.332 0.500 0.665
7 Mo 0.500 0.176 0.000
8 Mo 0.500 0.824 0.000
9 Mo 0.668 0.500 0.335

Summary:
Density of states at the Fermi level, states/eV per cell: 8.5

---

Bottom line: version 1, by a margin of 49 meV/atom.

---

Version 1
First-principles (PBE-GGA) data for a geometry-optimized TaNbMo2 structure, as listed in the Alexandria database.

Unit cell a=7.246 b=7.246 c=5.824 alpha=51.53 beta=51.53 gamma=90.00
Atoms (fractional coordinates):
1 Mo 0.623 0.125 0.250
2 Mo 0.127 0.625 0.250
3 Mo 0.375 0.377 0.750
4 Mo 0.875 0.873 0.750
5 Nb 0.500 0.500 0.000
6 Nb 0.250 0.750 0.500
7 Ta 0.000 0.000 0.000
8 Ta 0.750 0.250 0.500

Summary:
Density of states at the Fermi level, states/eV per cell: 7.4

---

Version 2
First-principles (PBE-GGA) data for a geometry-optimized TaNbMo2 structure, as listed in the Alexandria database.

Unit cell a=5.978 b=5.978 c=5.978 alpha=54.25 beta=150.73 gamma=135.39
Atoms (fractional coordinates):
1 Ta 0.000 0.500 0.500
2 Nb 0.000 0.000 0.000
3 Mo 0.000 0.250 0.250
4 Mo 0.000 0.750 0.750

Summary:
Density of states at the Fermi level, states/eV per cell: 4.1

---

Bottom line: version 1, by a margin of 70 meV/atom.

---

Version 1
First-principles (PBE-GGA) data for a geometry-optimized TaNbMo2 structure, as listed in the Alexandria database.

Unit cell a=3.229 b=3.229 c=6.463 alpha=90.00 beta=90.00 gamma=90.00
Atoms (fractional coordinates):
1 Mo 0.000 0.000 0.750
2 Mo 0.000 0.000 0.250
3 Nb 0.500 0.500 0.000
4 Ta 0.500 0.500 0.500

Summary:
Density of states at the Fermi level, states/eV per cell: 2.8

---

Version 2
First-principles (PBE-GGA) data for a geometry-optimized TaNbMo2 structure, as listed in the Alexandria database.

Unit cell a=4.569 b=4.569 c=4.569 alpha=60.00 beta=60.00 gamma=60.00
Atoms (fractional coordinates):
1 Mo 0.250 0.250 0.250
2 Mo 0.750 0.750 0.750
3 Nb 0.000 0.000 0.000
4 Ta 0.500 0.500 0.500

Summary:
Density of states at the Fermi level, states/eV per cell: 2.7

---

Bottom line: version 1, by a margin of 6 meV/atom.

---

Version 1
First-principles (PBE-GGA) data for a geometry-optimized Ta2Nb3Mo2 structure, as listed in the Alexandria database.

Unit cell a=4.552 b=5.428 c=5.479 alpha=95.56 beta=90.00 gamma=114.79
Atoms (fractional coordinates):
1 Ta 0.577 0.154 0.289
2 Ta 0.423 0.846 0.711
3 Nb 0.285 0.570 0.156
4 Nb 0.000 0.000 0.000
5 Nb 0.715 0.430 0.844
6 Mo 0.139 0.279 0.573
7 Mo 0.861 0.721 0.427

Summary:
Density of states at the Fermi level, states/eV per cell: 8.1

---

Version 2
First-principles (PBE-GGA) data for a geometry-optimized Ta2Nb3Mo2 structure, as listed in the Alexandria database.

Unit cell a=4.627 b=4.632 c=7.100 alpha=109.07 beta=90.00 gamma=119.97
Atoms (fractional coordinates):
1 Ta 0.925 0.850 0.275
2 Ta 0.075 0.150 0.725
3 Nb 0.500 0.000 0.000
4 Nb 0.646 0.293 0.439
5 Nb 0.354 0.707 0.561
6 Mo 0.785 0.571 0.856
7 Mo 0.215 0.429 0.144

Summary:
Density of states at the Fermi level, states/eV per cell: 8.2

---

Bottom line: version 2, by a margin of 17 meV/atom.

---

Version 1
First-principles (PBE-GGA) data for a geometry-optimized Ta3Nb3Mo structure, as listed in the Alexandria database.

Unit cell a=5.246 b=5.246 c=5.246 alpha=101.81 beta=101.81 gamma=101.81
Atoms (fractional coordinates):
1 Ta 0.539 0.539 0.192
2 Ta 0.539 0.192 0.539
3 Ta 0.192 0.539 0.539
4 Nb 0.540 0.958 0.958
5 Nb 0.958 0.958 0.540
6 Nb 0.958 0.540 0.958
7 Mo 0.074 0.074 0.074

Summary:
Density of states at the Fermi level, states/eV per cell: 8.4

---

Version 2
First-principles (PBE-GGA) data for a geometry-optimized Ta3Nb3Mo structure, as listed in the Alexandria database.

Unit cell a=5.282 b=5.282 c=10.357 alpha=93.76 beta=93.76 gamma=114.39
Atoms (fractional coordinates):
1 Ta 0.417 0.417 0.617
2 Ta 0.173 0.827 0.500
3 Ta 0.827 0.173 0.500
4 Ta 0.255 0.745 0.000
5 Ta 0.745 0.255 0.000
6 Ta 0.583 0.583 0.383
7 Nb 0.139 0.139 0.860
8 Nb 0.452 0.991 0.265
9 Nb 0.991 0.452 0.265
10 Nb 0.548 0.009 0.735
11 Nb 0.009 0.548 0.735
12 Nb 0.861 0.861 0.140
13 Mo 0.369 0.369 0.126
14 Mo 0.631 0.631 0.874

Summary:
Density of states at the Fermi level, states/eV per cell: 13.0

---

Bottom line: version 2, by a margin of 325 meV/atom.

---

Version 1
First-principles (PBE-GGA) data for a geometry-optimized Ta7Nb2Mo2 structure, as listed in the Alexandria database.

Unit cell a=7.460 b=5.454 c=5.454 alpha=105.96 beta=100.71 gamma=100.71
Atoms (fractional coordinates):
1 Ta 0.181 0.920 0.516
2 Ta 0.819 0.484 0.080
3 Ta 0.819 0.080 0.484
4 Ta 0.181 0.516 0.920
5 Ta 0.000 0.000 0.000
6 Ta 0.438 0.186 0.186
7 Ta 0.562 0.814 0.814
8 Nb 0.832 0.593 0.593
9 Nb 0.168 0.407 0.407
10 Mo 0.500 0.732 0.268
11 Mo 0.500 0.268 0.732

Summary:
Density of states at the Fermi level, states/eV per cell: 9.0

---

Version 2
First-principles (PBE-GGA) data for a geometry-optimized Ta7Nb2Mo2 structure, as listed in the Alexandria database.

Unit cell a=3.263 b=8.470 c=8.470 alpha=63.24 beta=78.89 gamma=78.89
Atoms (fractional coordinates):
1 Ta 0.833 0.046 0.287
2 Ta 0.835 0.531 0.799
3 Ta 0.500 0.920 0.080
4 Ta 0.661 0.462 0.216
5 Ta 0.339 0.784 0.538
6 Ta 0.167 0.713 0.954
7 Ta 0.165 0.201 0.469
8 Nb 0.000 0.626 0.374
9 Nb 0.500 0.327 0.673
10 Mo 0.668 0.954 0.710
11 Mo 0.332 0.290 0.046

Summary:
Density of states at the Fermi level, states/eV per cell: 13.0

---

Bottom line: version 2, by a margin of 11 meV/atom.

---

Version 1
First-principles (PBE-GGA) data for a geometry-optimized Ta3Nb2Mo2 structure, as listed in the Alexandria database.

Unit cell a=4.331 b=7.288 c=4.692 alpha=71.65 beta=89.87 gamma=107.17
Atoms (fractional coordinates):
1 Ta 0.000 0.000 0.000
2 Ta 0.756 0.511 0.245
3 Ta 0.244 0.489 0.755
4 Nb 0.883 0.770 0.616
5 Nb 0.117 0.230 0.384
6 Mo 0.627 0.252 0.872
7 Mo 0.373 0.748 0.128

Summary:
Density of states at the Fermi level, states/eV per cell: 8.5

---

Version 2
First-principles (PBE-GGA) data for a geometry-optimized Ta3Nb2Mo2 structure, as listed in the Alexandria database.

Unit cell a=4.632 b=4.641 c=7.089 alpha=109.13 beta=90.00 gamma=119.93
Atoms (fractional coordinates):
1 Ta 0.500 0.000 0.000
2 Ta 0.646 0.291 0.437
3 Ta 0.354 0.709 0.563
4 Nb 0.925 0.850 0.276
5 Nb 0.075 0.150 0.724
6 Mo 0.785 0.570 0.855
7 Mo 0.215 0.430 0.145

Summary:
Density of states at the Fermi level, states/eV per cell: 8.6

---

Bottom line: version 2, by a margin of 489 meV/atom.

---

Version 1
First-principles (PBE-GGA) data for a geometry-optimized Ta2Nb2Mo structure, as listed in the Alexandria database.

Unit cell a=5.296 b=5.296 c=7.693 alpha=104.56 beta=104.56 gamma=109.14
Atoms (fractional coordinates):
1 Ta 0.265 0.639 0.292
2 Ta 0.735 0.361 0.708
3 Ta 0.639 0.265 0.292
4 Ta 0.361 0.735 0.708
5 Nb 0.822 0.822 0.569
6 Nb 0.277 0.277 0.876
7 Nb 0.723 0.723 0.124
8 Nb 0.178 0.178 0.431
9 Mo 0.174 0.826 0.000
10 Mo 0.826 0.174 0.000

Summary:
Density of states at the Fermi level, states/eV per cell: 10.0

---

Version 2
First-principles (PBE-GGA) data for a geometry-optimized Ta2Nb2Mo structure, as listed in the Alexandria database.

Unit cell a=4.564 b=5.366 c=7.723 alpha=90.00 beta=90.00 gamma=90.00
Atoms (fractional coordinates):
1 Ta 0.500 0.755 0.386
2 Ta 0.500 0.245 0.614
3 Ta 0.500 0.255 0.114
4 Ta 0.500 0.745 0.886
5 Nb 0.000 0.560 0.168
6 Nb 0.000 0.440 0.832
7 Nb 0.000 0.060 0.332
8 Nb 0.000 0.940 0.668
9 Mo 0.000 0.000 0.000
10 Mo 0.000 0.500 0.500

Summary:
Density of states at the Fermi level, states/eV per cell: 14.3

---

Bottom line: version 1, by a margin of 181 meV/atom.

---

Version 1
First-principles (PBE-GGA) data for a geometry-optimized Ta3NbMo structure, as listed in the Alexandria database.

Unit cell a=4.788 b=4.788 c=4.788 alpha=90.00 beta=90.00 gamma=90.00
Atoms (fractional coordinates):
1 Mo 0.000 0.000 0.000
2 Nb 0.500 0.500 0.500
3 Ta 0.000 0.500 0.000
4 Ta 0.000 0.000 0.500
5 Ta 0.500 0.000 0.000

Summary:
Density of states at the Fermi level, states/eV per cell: 5.5

---

Version 2
First-principles (PBE-GGA) data for a geometry-optimized Ta3NbMo structure, as listed in the Alexandria database.

Unit cell a=3.074 b=7.644 c=8.500 alpha=90.00 beta=90.00 gamma=111.10
Atoms (fractional coordinates):
1 Ta 0.794 0.672 0.439
2 Ta 0.206 0.328 0.561
3 Ta 0.206 0.328 0.939
4 Ta 0.794 0.672 0.061
5 Ta 0.022 0.033 0.250
6 Ta 0.978 0.967 0.750
7 Nb 0.885 0.376 0.250
8 Nb 0.115 0.624 0.750
9 Mo 0.500 0.000 0.000
10 Mo 0.500 0.000 0.500

Summary:
Density of states at the Fermi level, states/eV per cell: 10.8

---

Version 3
First-principles (PBE-GGA) data for a geometry-optimized Ta3NbMo structure, as listed in the Alexandria database.

Unit cell a=4.609 b=5.720 c=7.157 alpha=97.66 beta=108.78 gamma=90.00
Atoms (fractional coordinates):
1 Ta 0.996 0.747 0.992
2 Ta 0.004 0.253 0.008
3 Ta 0.399 0.047 0.798
4 Ta 0.601 0.953 0.202
5 Ta 0.199 0.643 0.399
6 Ta 0.801 0.357 0.601
7 Nb 0.800 0.854 0.600
8 Nb 0.200 0.146 0.400
9 Mo 0.598 0.453 0.195
10 Mo 0.402 0.547 0.805

Summary:
Density of states at the Fermi level, states/eV per cell: 13.4

---

Bottom line: version 3, by a margin of 357 meV/atom.

---

Version 1
First-principles (PBE-GGA) data for a geometry-optimized Ta2NbMo4 structure, as listed in the Alexandria database.

Unit cell a=4.487 b=4.487 c=7.092 alpha=108.44 beta=108.44 gamma=90.00
Atoms (fractional coordinates):
1 Ta 0.749 0.749 0.498
2 Ta 0.251 0.251 0.502
3 Nb 0.000 0.000 0.000
4 Mo 0.378 0.878 0.757
5 Mo 0.878 0.378 0.757
6 Mo 0.622 0.122 0.243
7 Mo 0.122 0.622 0.243

Summary:
Density of states at the Fermi level, states/eV per cell: 7.2

---

Version 2
First-principles (PBE-GGA) data for a geometry-optimized Ta2NbMo4 structure, as listed in the Alexandria database.

Unit cell a=2.677 b=2.688 c=17.154 alpha=94.49 beta=90.00 gamma=90.00
Atoms (fractional coordinates):
1 Ta 0.500 0.423 0.846
2 Ta 0.500 0.577 0.154
3 Nb 0.000 0.500 0.000
4 Mo 0.500 0.287 0.573
5 Mo 0.000 0.854 0.709
6 Mo 0.500 0.713 0.427
7 Mo 0.000 0.146 0.291

Summary:
Density of states at the Fermi level, states/eV per cell: 6.6

---

Bottom line: version 1, by a margin of 72 meV/atom.